Computed, not measured: a relaxed CrCdF6 crystal at the GGA+U level of DFT.

Values from the calculation:
E_tot: -37.7 eV per cell

a = 4.9848 Å, b = 4.9848 Å, c = 5.1449 Å
α = 96.78°, β = 96.78°, γ = 115.18°
Each line ends with the local moment (μB).
Fractional positions:
1 Cd 0.0000 0.0000 0.0000  0.01
2 F 0.4598 0.1585 0.2691  -0.01
3 F 0.1585 0.4598 0.2691  -0.01
4 F 0.2523 0.2523 0.6980  -0.02
5 F 0.8415 0.5402 0.7309  -0.01
6 F 0.5402 0.8415 0.7309  -0.01
7 F 0.7477 0.7477 0.3020  -0.02
8 Cr 0.5000 0.5000 0.5000  2.06